Here is an optimized crystal structure of SmTm4 from Alexandria via LeMat-Bulk. Energies are from PBE-GGA.

The structure in POSCAR format:
```
SmTm4
1.0
3.5304 0.0000 0.0000
-1.7652 3.0574 0.0000
0.0000 0.0000 42.5551
Sm Tm
3 12
direct
0.0000 0.0000 0.0000
0.3333 0.6667 0.6667
0.6667 0.3333 0.3333
0.0000 0.0000 0.1332
0.0000 0.0000 0.4008
0.0000 0.0000 0.5992
0.0000 0.0000 0.8668
0.3333 0.6667 0.0675
0.3333 0.6667 0.2659
0.3333 0.6667 0.5334
0.3333 0.6667 0.7999
0.6667 0.3333 0.2001
0.6667 0.3333 0.4666
0.6667 0.3333 0.7341
0.6667 0.3333 0.9325
```

Output
For the total energy, the calculation gives -4.51 eV/atom. For the formation energy, the calculation gives 0.01 eV/atom.

---

Here is an optimized crystal structure of CdCoTc2 from Alexandria via LeMat-Bulk. Energies are from PBE-GGA.

The structure in POSCAR format:
```
CdCoTc2
1.0
2.7804 0.0000 0.0000
0.0000 2.7804 0.0000
0.0000 0.0000 7.6711
Cd Co Tc
1 1 2
direct
0.0000 0.0000 0.0000
0.5000 0.5000 0.2572
0.0000 0.0000 0.4677
0.5000 0.5000 0.7059
```

Output
For the total energy, the calculation gives -6.94 eV/atom. For the formation energy, the calculation gives 0.24 eV/atom.

---

Here is an optimized crystal structure of DyTmSiGe from Alexandria via LeMat-Bulk. Energies are from PBE-GGA.

The structure in POSCAR format:
```
DyTmSiGe
1.0
3.8803 0.0000 0.0000
0.0000 4.2489 0.0000
0.0000 0.0000 10.5520
Dy Tm Si Ge
2 2 2 2
direct
0.0000 0.0000 0.0000
0.0000 0.5000 0.5000
0.5000 0.0000 0.2785
0.5000 0.5000 0.7785
0.5000 0.0000 0.5565
0.5000 0.5000 0.0565
0.0000 0.0000 0.7202
0.0000 0.5000 0.2202
```

Output
For the total energy, the calculation gives -5.61 eV/atom. For the uncorrected formation energy, the calculation gives -0.828 eV/atom.

---

Here is an optimized crystal structure of Cu3PdRh from Alexandria via LeMat-Bulk. Energies are from PBE-GGA.

The structure in POSCAR format:
```
Cu3PdRh
1.0
6.6561 -1.8982 0.0000
6.6561 1.8982 0.0000
-0.7805 0.0000 5.2427
Cu Pd Rh
6 2 2
direct
0.0013 0.0013 0.2446
0.1967 0.1967 0.3431
0.4034 0.4034 0.9565
0.5966 0.5966 0.0435
0.8033 0.8033 0.6569
0.9987 0.9987 0.7554
0.1992 0.1992 0.8408
0.8008 0.8008 0.1592
0.4032 0.4032 0.4633
0.5968 0.5968 0.5367
```

Output
For the total energy, the calculation gives -4.97 eV/atom. For the formation energy, the calculation gives 0.00 eV/atom.

---

Here is an optimized crystal structure of CeNi2Pd from Alexandria via LeMat-Bulk. Energies are from PBE-GGA.

The structure in POSCAR format:
```
CeNi2Pd
1.0
4.3772 0.0000 0.0000
-2.1886 3.7908 0.0000
0.0000 0.0000 12.7787
Ce Ni Pd
3 6 3
direct
0.0000 0.0000 0.0000
0.3333 0.6667 0.6667
0.6667 0.3333 0.3333
0.0000 0.0000 0.1930
0.0000 0.0000 0.8070
0.3333 0.6667 0.4737
0.3333 0.6667 0.8597
0.6667 0.3333 0.1403
0.6667 0.3333 0.5263
0.0000 0.0000 0.5000
0.3333 0.6667 0.1667
0.6667 0.3333 0.8333
```

Output
For the total energy, the calculation gives -6.05 eV/atom. For the formation energy, the calculation gives -0.38 eV/atom.

---

Here is an optimized crystal structure of LaPmCu from Alexandria via LeMat-Bulk. Energies are from PBE-GGA.

The structure in POSCAR format:
```
LaPmCu
1.0
4.8884 0.0000 0.0000
-2.4442 4.2335 0.0000
0.0000 0.0000 3.8681
La Pm Cu
1 1 1
direct
0.0000 0.0000 0.0000
0.3333 0.6667 0.4222
0.6667 0.3333 0.6687
```

Output
For the total energy, the calculation gives -4.54 eV/atom. For the formation energy, the calculation gives 0.05 eV/atom.

---

Copy entry 2 word for word.
Here is an optimized crystal structure of CdCoTc2 from Alexandria via LeMat-Bulk. Energies are from PBE-GGA.

The structure in POSCAR format:
```
CdCoTc2
1.0
2.7804 0.0000 0.0000
0.0000 2.7804 0.0000
0.0000 0.0000 7.6711
Cd Co Tc
1 1 2
direct
0.0000 0.0000 0.0000
0.5000 0.5000 0.2572
0.0000 0.0000 0.4677
0.5000 0.5000 0.7059
```

Output
For the total energy, the calculation gives -6.94 eV/atom. For the formation energy, the calculation gives 0.24 eV/atom.